Entry from Alexandria: an optimized crystal structure of P2WO8 (PBE+U).

Space-group type   Pnma, No. 62
Offset from the most stable computed form   0.004 eV per atom

```
P2WO8
1.0
5.2484 0.0000 0.0000
0.0000 6.7126 0.0000
0.0000 0.0000 17.4296
P W O
8 4 32
direct
0.7500 0.2042 0.8296
0.7500 0.9106 0.4173
0.7500 0.2958 0.3296
0.7500 0.5894 0.9173
0.2500 0.7958 0.1704
0.2500 0.4106 0.0827
0.2500 0.0894 0.5827
0.2500 0.7042 0.6704
0.2500 0.6280 0.3676
0.7500 0.3720 0.6324
0.7500 0.1280 0.1324
0.2500 0.8720 0.8676
0.7500 0.3158 0.7549
0.2500 0.3695 0.0002
0.5154 0.8318 0.3690
0.2500 0.1305 0.5002
0.0118 0.5738 0.6605
0.7500 0.3544 0.8994
0.9882 0.0738 0.8395
0.2500 0.9209 0.9644
0.2500 0.8158 0.7451
0.4846 0.3318 0.1310
0.2500 0.5791 0.4644
0.2500 0.6842 0.2451
0.0154 0.1682 0.6310
0.7500 0.1456 0.3994
0.7500 0.4209 0.5356
0.4882 0.5738 0.6605
0.9846 0.6682 0.8690
0.9846 0.8318 0.3690
0.2500 0.6456 0.1006
0.4846 0.1682 0.6310
0.5118 0.0738 0.8395
0.5118 0.4262 0.3395
0.2500 0.8544 0.6006
0.7500 0.6305 0.9998
0.7500 0.0791 0.0356
0.9882 0.4262 0.3395
0.4882 0.9262 0.1605
0.7500 0.1842 0.2549
0.7500 0.8695 0.4998
0.5154 0.6682 0.8690
0.0154 0.3318 0.1310
0.0118 0.9262 0.1605
```